1.
Pm2HoScS6 PBE relaxed; space-group type = R3, No. 146; N(E_F) = 0.000 states/eV/atom; M_tot = 0.000 μB per atom; energy = -65.09 eV per cell
1.0
-5.313 4.004 1.905
-4.576 -2.304 4.652
0.070 2.907 6.656
Ho S Pm Sc
1 6 2 1
Cartesian
-8.039 2.985 9.012
-2.518 1.647 7.327
-4.110 4.740 6.906
-7.749 3.192 6.277
-5.396 -0.649 6.515
-5.428 2.380 9.134
-4.041 2.658 3.764
-5.154 2.134 6.282
-0.157 2.750 6.355
-3.155 0.665 2.373

=====

2.
SrCuAg2Cl8 PBE relaxed; space-group type = I-4, No. 82; N(E_F) = 0.421 states/eV/atom; M_tot = 0.038 μB per atom; energy = -35.35 eV per cell
1.0
-0.769 -4.881 4.681
3.776 -4.218 -3.778
4.150 6.737 2.758
Ag Cl Sr Cu
2 8 1 1
Cartesian
4.715 -1.016 -0.285
1.504 -4.550 0.451
1.668 0.663 3.054
2.879 -6.412 -0.013
3.302 1.260 -0.233
0.661 -2.482 1.218
4.009 -1.587 2.236
6.111 3.110 1.085
5.336 -5.061 2.265
4.665 1.057 5.031
0.000 0.000 0.000
2.442 -1.347 3.945

=====

3.
Ac2PmPd PBE relaxed; space-group type = P4/mmm, No. 123; N(E_F) = 1.506 states/eV/atom; excess energy over the best structure of this formula in the dataset = 87 meV/atom; M_tot = 0.000 μB per atom; ΔH_f (0 K) = -0.30 eV per atom; energy = -19.38 eV per cell
1.0
-3.016 -0.629 -2.344
2.387 -0.098 -3.046
1.018 -8.923 1.086
Ac Pd Pm
2 1 1
Cartesian
0.205 -1.797 0.219
0.813 -7.126 0.867
-0.314 -0.364 -2.695
0.195 -4.826 -2.152

=====

4.
AlZnTc2 PBE relaxed; space-group type = C2/m, No. 12; N(E_F) = 0.875 states/eV/atom; excess energy over the best structure of this formula in the dataset = 200 meV/atom; M_tot = 0.000 μB per atom; ΔH_f (0 K) = -0.01 eV per atom; energy = -25.78 eV per cell
1.0
-3.930 2.384 -0.796
-4.465 0.495 1.257
0.262 3.442 3.236
Zn Al Tc
1 1 2
Cartesian
-6.100 4.741 2.772
-2.033 1.580 0.924
-8.369 2.881 0.469
-4.093 3.159 1.840